No. 1
Entry from Alexandria via LeMat-Bulk: Zn2AgTeAs after structural relaxation (PBE-GGA).

a = 4.8696 Å, b = 4.8696 Å, c = 5.1875 Å
α = 90.00°, β = 90.00°, γ = 90.00°
Space group P4/mmm (No. 123)
Asymmetric unit:
Zn1 0.0000 0.5000 0.0000 (multiplicity 2)
Ag1 0.0000 0.0000 0.0000 (multiplicity 1)
Te1 0.5000 0.5000 0.5000 (multiplicity 1)
As1 0.0000 0.0000 0.5000 (multiplicity 1)

Results
ρ: 6.0 g cm⁻³
VASP energy: -2.19 eV/atom

***

No. 2
Entry from Alexandria via LeMat-Bulk: ThAgAs after structural relaxation (PBE-GGA).

a = 4.8616 Å, b = 4.8616 Å, c = 23.6864 Å
α = 90.00°, β = 90.00°, γ = 120.00°
Space group R-3m (No. 166, hexagonal axes)
Asymmetric unit:
Th1 0.0000 0.0000 0.0891 (multiplicity 6)
Ag1 0.0000 0.0000 0.3316 (multiplicity 6)
As1 0.0000 0.0000 0.2139 (multiplicity 6)

Results
ρ: 8.5 g cm⁻³
calculated formation energy: -0.555 eV/atom

***

No. 3
Entry from Alexandria via LeMat-Bulk: TiAg3As after structural relaxation (PBE-GGA).

a = 4.9994 Å, b = 4.9994 Å, c = 4.9994 Å
α = 90.00°, β = 90.00°, γ = 90.00°
Space group Pm-3m (No. 221)
Asymmetric unit:
Ti1 0.0000 0.0000 0.0000 (multiplicity 1)
Ag1 0.0000 0.0000 0.5000 (multiplicity 3)
As1 0.5000 0.5000 0.5000 (multiplicity 1)

Results
ρ: 5.9 g cm⁻³
calculated formation energy: 1.229 eV/atom
distance to the lowest polymorph of the same formula: 530.7 meV/atom

***

No. 4
Entry from Alexandria via LeMat-Bulk: TiAgAs2 after structural relaxation (PBE-GGA).

a = 4.9452 Å, b = 4.9452 Å, c = 14.8942 Å
α = 90.00°, β = 90.00°, γ = 90.00°
Space group I-42d (No. 122)
Asymmetric unit:
Ti1 0.0000 0.0000 0.0000 (multiplicity 4)
Ag1 0.0000 0.0000 0.5000 (multiplicity 4)
As1 0.2212 0.2500 0.1250 (multiplicity 8)

Results
ρ: 5.6 g cm⁻³
calculated formation energy: 0.019 eV/atom

***

No. 5
Entry from Alexandria via LeMat-Bulk: TiAg3As after structural relaxation (PBE-GGA).

a = 4.8826 Å, b = 4.8826 Å, c = 4.8826 Å
α = 90.00°, β = 90.00°, γ = 90.00°
Space group Pm-3m (No. 221)
Asymmetric unit:
Ti1 0.0000 0.0000 0.0000 (multiplicity 1)
Ag1 0.0000 0.5000 0.5000 (multiplicity 3)
As1 0.5000 0.5000 0.5000 (multiplicity 1)

Results
ρ: 6.4 g cm⁻³
calculated formation energy: 0.698 eV/atom
distance to the lowest polymorph of the same formula: 0.0 meV/atom

***

No. 6
Entry from Alexandria via LeMat-Bulk: TiAg2As2 after structural relaxation (PBE-GGA).

a = 6.9031 Å, b = 6.9031 Å, c = 3.9482 Å
α = 90.00°, β = 90.00°, γ = 90.00°
Space group P4/mbm (No. 127)
Asymmetric unit:
Ti1 0.0000 0.0000 0.0000 (multiplicity 2)
Ag1 0.1495 0.3505 0.5000 (multiplicity 4)
As1 0.1583 0.6583 0.0000 (multiplicity 4)

Results
ρ: 7.3 g cm⁻³
calculated formation energy: -0.009 eV/atom

***

No. 7
Entry from Alexandria via LeMat-Bulk: TiAg2As after structural relaxation (PBE-GGA).

a = 7.6315 Å, b = 7.6315 Å, c = 5.2440 Å
α = 90.00°, β = 90.00°, γ = 90.00°
Space group I-42d (No. 122)
Asymmetric unit:
Ti1 0.0000 0.0000 0.0000 (multiplicity 4)
Ag1 0.2248 0.2500 0.6250 (multiplicity 8)
As1 0.0000 0.0000 0.5000 (multiplicity 4)

Results
ρ: 7.4 g cm⁻³
calculated formation energy: 0.146 eV/atom

***

No. 8
Entry from Alexandria via LeMat-Bulk: Ti3AgAs after structural relaxation (PBE-GGA).

a = 4.8411 Å, b = 4.8411 Å, c = 4.8411 Å
α = 90.00°, β = 90.00°, γ = 90.00°
Space group Pm-3m (No. 221)
Asymmetric unit:
Ti1 0.0000 0.0000 0.5000 (multiplicity 3)
Ag1 0.0000 0.0000 0.0000 (multiplicity 1)
As1 0.5000 0.5000 0.5000 (multiplicity 1)

Results
ρ: 4.8 g cm⁻³
calculated formation energy: 0.919 eV/atom
distance to the lowest polymorph of the same formula: 722.5 meV/atom

***

For the records above, the corresponding M_tot values read 0.00, 0.00, 2.11, 0.00, 2.85, 0.17, 0.00, 2.10 μB per formula unit.
For the records above, the corresponding N(E_F) values read 2.33, 12.38, 2.40, 12.43, 4.84, 7.77, 16.27, 4.28 states/eV/cell.